This record from Alexandria describes crystalline La2ZnH at its relaxed geometry. The functional is GGA-PBE.

Results
* distance to the lowest polymorph of the same formula: 11.8 kJ/mol of formula units

a b c (Å): 3.8079 3.8079 22.8002
angles (deg): 90.00 90.00 120.00
Closest atoms and distances in Å follow each position.
Space group R-3m (No. 166, hexagonal axes)
Inequivalent atoms, fractional coordinates:
La: 0.0000 0.0000 0.2335  3 H 2.68
Zn: 0.0000 0.0000 0.0000  6 La 3.16
H: 0.0000 0.0000 0.5000  6 La 2.68


This record from Alexandria describes crystalline LaZnH at its relaxed geometry. The functional is GGA-PBE.

Results
* electronic total energy: -3.470 eV/atom

a b c (Å): 4.0039 4.0039 26.9558
angles (deg): 90.00 90.00 120.00
Closest atoms and distances in Å follow each position.
Space group R-3m (No. 166, hexagonal axes)
Inequivalent atoms, fractional coordinates:
La: 0.0000 0.0000 0.2243  4 H 2.40-2.42
Zn: 0.0000 0.0000 0.3556  3 Zn 2.61
H: 0.0000 0.0000 0.1352  4 La 2.40-2.42


This record from Alexandria describes crystalline La2ZnH at its relaxed geometry. The functional is GGA-PBE.

Results
* distance to the lowest polymorph of the same formula: 0.0 kJ/mol of formula units

a b c (Å): 7.1716 7.1716 7.4662
angles (deg): 90.00 90.00 90.00
Closest atoms and distances in Å follow each position.
Space group I-42d (No. 122)
Inequivalent atoms, fractional coordinates:
La: 0.1699 0.2500 0.1250  2 H 2.36
Zn: 0.0000 0.0000 0.5000  4 La 3.11
H: 0.0000 0.0000 0.0000  4 La 2.36


This record from Alexandria describes crystalline La2ZrZnH at its relaxed geometry. The functional is GGA-PBE.

Results
* electronic total energy: -4.706 eV/atom

a b c (Å): 5.2035 5.2035 4.1944
angles (deg): 90.00 90.00 90.00
Closest atoms and distances in Å follow each position.
Space group P4/mmm (No. 123)
Inequivalent atoms, fractional coordinates:
La: 0.0000 0.5000 0.0000  2 H 2.60
Zr: 0.0000 0.0000 0.5000  2 H 2.10
Zn: 0.5000 0.5000 0.5000  8 La 3.34, 4 Zr 3.68
H: 0.0000 0.0000 0.0000  2 Zr 2.10


This record from Alexandria describes crystalline LaZr2H at its relaxed geometry. The functional is GGA-PBE.

Results
* distance to the lowest polymorph of the same formula: 0.0 kJ/mol of formula units

a b c (Å): 6.1719 6.1719 9.5464
angles (deg): 90.00 90.00 90.00
Closest atoms and distances in Å follow each position.
Space group I-42d (No. 122)
Inequivalent atoms, fractional coordinates:
La: 0.0000 0.0000 0.0000  12 Zr 3.50-3.90, 4 La 3.90, 4 H 3.90
Zr: 0.0294 0.2500 0.6250  2 H 1.96
H: 0.0000 0.0000 0.5000  4 Zr 1.96


This record from Alexandria describes crystalline LaZr2H at its relaxed geometry. The functional is GGA-PBE.

Results
* distance to the lowest polymorph of the same formula: 8.9 kJ/mol of formula units

a b c (Å): 3.2276 3.2276 26.6525
angles (deg): 90.00 90.00 120.00
Closest atoms and distances in Å follow each position.
Space group R-3m (No. 166, hexagonal axes)
Inequivalent atoms, fractional coordinates:
La: 0.0000 0.0000 0.0000  2 Zr 3.12, 6 La 3.23
Zr: 0.0000 0.0000 0.1172  3 H 2.28
H: 0.0000 0.0000 0.5000  6 Zr 2.28